(1)
Entry from Alexandria via LeMat-Bulk: a geometry-optimized LiSm2SnO structure (GGA-PBE).

E_tot = -5.586 eV/atom
SG = P4/mmm

Structure (POSCAR):
```
LiSm2SnO
1.0
-4.0775 -0.1286 -1.6179
-0.6119 -4.4524 1.8959
-1.6970 1.9871 4.1188
Li Sm Sn O
1 2 1 1
direct
0.5000 0.0000 0.0000
0.0000 0.0000 0.5000
0.0000 0.5000 0.0000
0.5000 0.5000 0.5000
0.0000 0.0000 0.0000
```

***

(2)
Entry from Alexandria via LeMat-Bulk: a geometry-optimized LiSm2SnO5 structure (GGA-PBE).

E_tot = -6.684 eV/atom
SG = P4/mbm

Structure (POSCAR):
```
LiSm2SnO5
1.0
6.1688 0.0000 0.0000
0.0000 6.7127 0.0000
0.0000 0.0000 6.7127
Li Sm Sn O
2 4 2 10
direct
0.0000 0.5000 0.5000
0.0000 0.0000 0.0000
0.5000 0.6771 0.1771
0.5000 0.1771 0.3229
0.5000 0.8229 0.6771
0.5000 0.3229 0.8229
0.0000 0.0000 0.5000
0.0000 0.5000 0.0000
0.5000 0.5000 0.5000
0.5000 0.0000 0.0000
0.2577 0.1424 0.6424
0.2577 0.8576 0.3576
0.2577 0.3576 0.1424
0.2577 0.6424 0.8576
0.7423 0.1424 0.6424
0.7423 0.6424 0.8576
0.7423 0.8576 0.3576
0.7423 0.3576 0.1424
```

***

(3)
Entry from Alexandria via LeMat-Bulk: a geometry-optimized SrLiSmO3 structure (GGA-PBE).

E_tot = -6.616 eV/atom
SG = P2_1/m

Structure (POSCAR):
```
SrLiSmO3
1.0
-0.3804 -2.8226 -1.9874
-1.1178 -4.0708 5.9956
-6.7183 1.9799 -1.5262
Sr Li Sm O
2 2 2 6
direct
0.2500 0.1750 0.2201
0.7500 0.8250 0.7799
0.2500 0.0803 0.5885
0.7500 0.9197 0.4115
0.2500 0.6568 0.1855
0.7500 0.3432 0.8145
0.7500 0.8666 0.1400
0.2500 0.1334 0.8600
0.2500 0.8221 0.4929
0.7500 0.1779 0.5071
0.7500 0.4296 0.1578
0.2500 0.5704 0.8422
```

***

(4)
Entry from Alexandria via LeMat-Bulk: a geometry-optimized LiSm2TcO6 structure (GGA-PBE).

E_tot = -7.648 eV/atom
SG = P-1

Structure (POSCAR):
```
LiSm2TcO6
1.0
-0.4831 -1.2670 -5.4164
1.2945 -5.1196 -1.8234
-4.0009 -3.3565 -1.6298
Li Sm Tc O
1 2 1 6
direct
0.8161 0.8161 0.5517
0.5926 0.5423 0.3009
0.0397 0.0901 0.8027
0.3162 0.3161 0.0515
0.6236 0.1378 0.2350
0.1950 0.9709 0.2851
0.0074 0.4958 0.3634
0.4374 0.6614 0.8170
0.6252 0.1363 0.7398
0.0084 0.4947 0.8682
```

***

(5)
Entry from Alexandria via LeMat-Bulk: a geometry-optimized LiSmTc2O8 structure (GGA-PBE).

E_tot = -7.468 eV/atom
SG = I-4

Structure (POSCAR):
```
LiSmTc2O8
1.0
5.2285 0.0000 0.0000
0.0000 5.2285 0.0000
-2.6142 -2.6142 5.7384
Li Sm Tc O
1 1 2 8
direct
0.7500 0.2500 0.5000
0.0000 0.0000 0.0000
0.5000 0.5000 0.0000
0.2500 0.7500 0.5000
0.7356 0.8321 0.1602
0.4247 0.3281 0.1602
0.5806 0.6803 0.6658
0.0852 0.9855 0.6658
0.0145 0.4194 0.3342
0.3197 0.9148 0.3342
0.1679 0.5753 0.8398
0.6719 0.2644 0.8398
```

***

(6)
Entry from Alexandria via LeMat-Bulk: a geometry-optimized LiSm2TiO6 structure (GGA-PBE).

E_tot = -7.803 eV/atom
SG = P2_1/c

Structure (POSCAR):
```
LiSm2TiO6
1.0
5.3911 0.0000 -0.0912
0.0000 5.8248 0.0000
-0.0831 0.0000 7.6453
Li Sm Ti O
2 4 2 12
direct
0.5000 0.0000 0.5000
0.0000 0.5000 0.0000
0.0205 0.9231 0.2472
0.5205 0.5769 0.7472
0.9795 0.0769 0.7528
0.4795 0.4231 0.2528
0.5000 0.0000 0.0000
0.0000 0.5000 0.5000
0.3235 0.7101 0.0571
0.8235 0.7899 0.5571
0.6765 0.2899 0.9429
0.1765 0.2101 0.4429
0.2980 0.6793 0.4501
0.7980 0.8207 0.9501
0.7020 0.3207 0.5499
0.2020 0.1793 0.0499
0.8926 0.5367 0.2558
0.3926 0.9633 0.7558
0.1074 0.4633 0.7442
0.6074 0.0367 0.2442
```

***

(7)
Entry from Alexandria via LeMat-Bulk: a geometry-optimized LiSm2UO6 structure (GGA-PBE).

E_tot = -8.360 eV/atom
SG = R3

Structure (POSCAR):
```
LiSm2UO6
1.0
5.8629 0.0001 0.0002
2.9315 5.0774 -0.0001
2.9314 1.6927 4.9983
Li Sm U O
1 2 1 6
direct
0.8056 0.8055 0.5834
0.5324 0.5324 0.4027
0.0272 0.0272 0.9183
0.3160 0.3160 0.0521
0.5978 0.2040 0.2493
0.2040 0.9490 0.2493
0.9490 0.5978 0.2493
0.4256 0.6821 0.7703
0.6821 0.1220 0.7703
0.1220 0.4256 0.7703
```

***

(8)
Entry from Alexandria via LeMat-Bulk: a geometry-optimized LiSmUO5 structure (GGA-PBE).

E_tot = -8.363 eV/atom
SG = C2/c

Structure (POSCAR):
```
LiSmUO5
1.0
-5.3270 1.7098 1.4510
2.0647 -3.6549 3.9731
3.9685 6.2443 1.6516
Li Sm U O
2 2 2 10
direct
0.6882 0.3118 0.2500
0.3118 0.6882 0.7500
0.3654 0.6346 0.2500
0.6346 0.3654 0.7500
0.0000 0.0000 0.5000
0.0000 0.0000 0.0000
0.1149 0.8851 0.2500
0.8851 0.1149 0.7500
0.9532 0.3086 0.1330
0.0468 0.6914 0.8670
0.6914 0.0468 0.3670
0.3086 0.9532 0.6330
0.7319 0.6250 0.4413
0.2681 0.3750 0.5587
0.3750 0.2681 0.0587
0.6250 0.7319 0.9413
```